A plane-wave DFT calculation with PBE was carried out for a relaxed structure of ScBe2Cu3.

POSCAR file:
```
ScBe2Cu3
1.0
4.648 0.000 0.000
0.000 5.739 0.199
0.000 0.497 5.721
Cu Sc Be
6 2 4
Cartesian
1.162 5.576 0.370
1.162 5.425 2.779
1.162 3.178 0.646
3.486 0.810 3.141
3.486 3.057 5.274
3.486 0.659 5.549
3.486 3.974 2.058
1.162 2.261 3.862
0.000 4.811 4.567
0.000 1.425 1.353
2.324 1.425 1.353
2.324 4.811 4.567
```

**VASP energy**: -4.4818 eV per atom
**ΔH_f (0 K)**: -0.819 eV/f.u.
**Space group**: No. 63

---

A plane-wave DFT calculation with PBE was carried out for a relaxed structure of Nd9Ho4Zn11.

POSCAR file:
```
Nd9Ho4Zn11
1.0
3.531 0.000 0.000
0.000 12.476 -4.997
0.000 0.308 13.436
Zn Nd Ho
11 9 4
Cartesian
0.000 8.036 1.729
0.000 10.437 -1.909
3.531 3.238 2.137
3.531 9.546 6.301
0.000 7.558 9.706
0.000 5.225 -1.268
0.000 0.888 5.303
0.000 2.346 10.348
0.000 4.748 6.710
0.000 11.896 3.136
0.000 0.000 0.000
1.765 2.597 -0.546
1.765 6.392 4.219
1.765 7.865 -1.223
1.765 4.919 9.662
1.765 12.265 5.836
1.765 1.966 7.713
1.765 10.817 0.726
1.765 0.519 2.603
1.765 10.186 8.985
1.765 3.260 4.616
1.765 9.523 3.823
1.765 5.526 1.184
1.765 7.258 7.255
```

**VASP energy**: -3.3653 eV per atom
**ΔH_f (0 K)**: -5.533 eV/f.u.
**Space group**: No. 65

---

A plane-wave DFT calculation with PBE was carried out for a relaxed structure of Nd2MgSe.

POSCAR file:
```
Nd2MgSe
1.0
3.819 0.000 0.000
0.000 3.819 0.000
0.000 0.000 7.329
Nd Mg Se
2 1 1
Cartesian
0.000 0.000 1.734
0.000 0.000 5.595
1.910 1.910 3.665
1.910 1.910 0.000
```

**Offset from the most stable computed form**: 96 meV/atom
**VASP energy**: -4.4188 eV per atom
**Space group**: No. 123

---

A plane-wave DFT calculation with PBE was carried out for a relaxed structure of Y3SnH2.

POSCAR file:
```
Y3SnH2
1.0
-0.182 -3.547 -0.665
4.132 0.666 -4.683
6.198 -0.385 10.168
Y Sn H
6 2 4
Cartesian
3.910 -0.847 3.447
6.438 -3.645 7.856
6.237 -2.419 1.372
3.709 0.378 -3.036
7.514 -1.268 4.703
2.633 -1.998 0.117
5.361 -1.830 -1.528
4.787 -1.436 6.348
1.402 -0.131 0.316
6.038 -0.863 2.945
4.109 -2.403 1.875
8.745 -3.135 4.504
```

**VASP energy**: -5.5350 eV per atom
**Space group**: No. 12